A relaxed CaTa2Te crystal, computed with PBE.

Lattice parameters (Å, degrees): 4.1167 4.1167 11.3061 79.51 79.51 90.00
With the nearest neighbours (Å) after each atom.
Positions (direct):
Te 0.7500 0.2500 0.5000  4 Ca 2.91, 4 Ta 3.09
Te 0.0000 0.0000 0.0000  4 Ca 2.91, 4 Ta 3.09
Ta 0.1196 0.6250 0.2500  4 Ta 2.88-2.94, 2 Te 3.09, 2 Ca 3.10
Ta 0.8750 0.8804 0.7500  4 Ta 2.88-2.94, 2 Te 3.09, 2 Ca 3.10
Ta 0.3750 0.3696 0.7500  4 Ta 2.88-2.94, 2 Te 3.09, 2 Ca 3.10
Ta 0.6304 0.1250 0.2500  4 Ta 2.88-2.94, 2 Te 3.09, 2 Ca 3.10
Ca 0.2500 0.7500 0.5000  4 Te 2.91, 4 Ta 3.10
Ca 0.5000 0.5000 0.0000  4 Te 2.91, 4 Ta 3.10

formation energy (no corrections): 0.478 eV/atom
V: 23.1 Å³/atom
DFT total energy: -53.9 eV per cell
density of states at the Fermi level: 0.62 states/eV per atom


A relaxed CaTa2Te crystal, computed with PBE.

Lattice parameters (Å, degrees): 3.5642 3.5657 7.4271 90.00 90.00 90.00
With the nearest neighbours (Å) after each atom.
Positions (direct):
Ta 0.5000 0.5000 0.2275  4 Ta 2.82, 4 Te 3.03
Ta 0.0000 0.0000 0.0588  4 Ta 2.82, 1 Te 2.94
Ca 0.5000 0.5000 0.7595  5 Ta 3.36-3.48, 4 Te 3.39, 4 Ca 3.56-3.57
Te 0.0000 0.0000 0.4542  5 Ta 2.94-3.03

formation energy (no corrections): 0.080 eV/atom
V: 23.6 Å³/atom
DFT total energy: -28.5 eV per cell
density of states at the Fermi level: 1.44 states/eV per atom


A relaxed CaTa2Te crystal, computed with PBE.

Lattice parameters (Å, degrees): 5.4499 3.2076 5.1769 89.37 90.00 90.00
With the nearest neighbours (Å) after each atom.
Positions (direct):
Te 0.5000 0.2500 0.2500  4 Ca 3.03-3.06, 4 Ta 3.07, 2 Te 3.21
Ta 0.0000 0.1238 0.9886  2 Ta 2.59-2.83
Ta 0.0000 0.3762 0.5114  2 Ta 2.59-2.83
Ca 0.5000 0.7500 0.7500  4 Te 3.03-3.06, 2 Ca 3.21, 4 Ta 3.23

formation energy (no corrections): 0.373 eV/atom
V: 22.6 Å³/atom
DFT total energy: -27.4 eV per cell
density of states at the Fermi level: 1.02 states/eV per atom


A relaxed CaTa2Te crystal, computed with PBE.

Lattice parameters (Å, degrees): 5.9319 5.9319 5.9319 139.40 139.40 58.77
With the nearest neighbours (Å) after each atom.
Positions (direct):
Ca 0.7500 0.2500 0.5000  4 Te 2.91
Ta 0.5000 0.5000 0.0000  4 Ta 2.91
Ta 0.0000 0.0000 0.0000  4 Ta 2.91
Te 0.2500 0.7500 0.5000  4 Ca 2.91

formation energy (no corrections): 0.376 eV/atom
V: 21.9 Å³/atom
DFT total energy: -27.3 eV per cell
density of states at the Fermi level: 1.02 states/eV per atom


no.,total moment (μB per atom)
1,0.0000
2,0.1134
3,0.0000
4,0.0000